[1]
Below is crystalline SmInTe2O8 at its relaxed geometry, with properties calculated at the PBE level.

a = 6.2325 Å, b = 6.2325 Å, c = 6.2325 Å
α = 108.33°, β = 108.33°, γ = 111.78°
Positions (direct):
O 0.3482 0.0453 0.3029
O 0.9547 0.6518 0.6971
O 0.3157 0.4994 0.1837
O 0.5006 0.6843 0.8163
O 0.7425 0.0453 0.6971
O 0.8680 0.6843 0.1837
O 0.3157 0.1320 0.8163
O 0.9547 0.2575 0.3029
Te 0.7500 0.2500 0.5000
Te 0.5000 0.5000 0.0000
Sm 0.2500 0.7500 0.5000
In 0.0000 0.0000 0.0000

Output
**Formation energy without anion corrections**: -17.3 eV per formula unit
**SG**: No. 119



[2]
Below is crystalline Sm12TlIn4O3 at its relaxed geometry, with properties calculated at the PBE level.

a = 8.8895 Å, b = 8.8895 Å, c = 8.8895 Å
α = 109.47°, β = 109.47°, γ = 109.47°
Positions (direct):
Sm 0.2751 0.0000 0.2751
Sm 0.7500 0.5000 0.2500
Sm 0.2500 0.7500 0.5000
Sm 0.7249 0.7249 0.0000
Sm 0.5000 0.7500 0.2500
Sm 0.5000 0.2500 0.7500
Sm 0.0000 0.7249 0.7249
Sm 0.2751 0.2751 0.0000
Sm 0.7249 0.0000 0.7249
Sm 0.0000 0.2751 0.2751
Sm 0.7500 0.2500 0.5000
Sm 0.2500 0.5000 0.7500
O 0.0000 0.5000 0.5000
O 0.5000 0.0000 0.5000
O 0.5000 0.5000 0.0000
In 0.5000 0.0000 0.0000
In 0.0000 0.0000 0.5000
In 0.5000 0.5000 0.5000
In 0.0000 0.5000 0.0000
Tl 0.0000 0.0000 0.0000

Output
**Formation energy without anion corrections**: -18.9 eV per formula unit
**SG**: No. 229



[3]
Below is crystalline Sm12Tl4InO3 at its relaxed geometry, with properties calculated at the PBE level.

a = 8.8865 Å, b = 8.8865 Å, c = 8.8865 Å
α = 109.47°, β = 109.47°, γ = 109.47°
Positions (direct):
Sm 0.0000 0.7261 0.7261
Sm 0.5000 0.7500 0.2500
Sm 0.2500 0.5000 0.7500
Sm 0.7500 0.5000 0.2500
Sm 0.2739 0.2739 0.0000
Sm 0.2739 0.0000 0.2739
Sm 0.7261 0.7261 0.0000
Sm 0.0000 0.2739 0.2739
Sm 0.5000 0.2500 0.7500
Sm 0.2500 0.7500 0.5000
Sm 0.7261 0.0000 0.7261
Sm 0.7500 0.2500 0.5000
Tl 0.0000 0.0000 0.5000
Tl 0.5000 0.5000 0.5000
Tl 0.0000 0.5000 0.0000
Tl 0.5000 0.0000 0.0000
O 0.5000 0.5000 0.0000
O 0.5000 0.0000 0.5000
O 0.0000 0.5000 0.5000
In 0.0000 0.0000 0.0000

Output
**Formation energy without anion corrections**: -17.9 eV per formula unit
**SG**: No. 229



[4]
Below is crystalline Sm4TlInO at its relaxed geometry, with properties calculated at the PBE level.

a = 6.7368 Å, b = 6.7379 Å, c = 9.0426 Å
α = 90.00°, β = 111.87°, γ = 90.00°
Positions (direct):
Sm 0.5770 0.2500 0.1540
Sm 0.5000 0.5000 0.5000
Sm 0.0788 0.7500 0.1576
Sm 0.5000 0.0000 0.5000
Sm 0.4230 0.7500 0.8460
Sm 0.0000 0.0000 0.5000
Sm 0.0000 0.5000 0.5000
Sm 0.9212 0.2500 0.8424
In 0.3878 0.2500 0.7756
In 0.6122 0.7500 0.2244
O 0.7545 0.2500 0.5091
O 0.2455 0.7500 0.4909
Tl 0.8893 0.7500 0.7786
Tl 0.1107 0.2500 0.2214

Output
**Formation energy without anion corrections**: -7.3 eV per formula unit
**SG**: No. 63



[5]
Below is crystalline Sm2TmInO at its relaxed geometry, with properties calculated at the PBE level.

a = 4.6563 Å, b = 4.9471 Å, c = 4.9471 Å
α = 90.00°, β = 90.00°, γ = 90.00°
Positions (direct):
Sm 0.0000 0.0000 0.5000
Sm 0.0000 0.5000 0.0000
Tm 0.5000 0.0000 0.0000
O 0.0000 0.0000 0.0000
In 0.5000 0.5000 0.5000

Output
**Formation energy without anion corrections**: -7.1 eV per formula unit
**SG**: No. 123